[1]
DFT (PBE) results for crystalline Na2Cu5P4 at its relaxed geometry.

Properties
calculated formation energy = -110 meV per atom
volume = 17.4 A^3/atom

Cell: 5.368 6.782 6.318 Å, 80.32 64.86 66.68°
Fractional positions:
Na (0.842, 0.000, 0.316)
Na (0.158, 0.000, 0.684)
Cu (0.500, 0.000, 0.000)
Cu (0.000, 0.500, 0.000)
Cu (0.500, 0.500, 0.000)
Cu (0.250, 0.500, 0.500)
Cu (0.750, 0.500, 0.500)
P (0.480, 0.292, 0.749)
P (0.520, 0.708, 0.251)
P (0.229, 0.292, 0.251)
P (0.771, 0.708, 0.749)



[2]
DFT (PBE) results for crystalline K2Na4Hg3 at its relaxed geometry.

Properties
calculated formation energy = -158 meV per atom
volume = 34.4 A^3/atom

Cell: 5.883 6.932 10.960 Å, 54.38 90.04 64.94°
Fractional positions:
K (0.317, 0.366, 0.764)
K (0.683, 0.634, 0.236)
Na (0.681, 0.639, 0.862)
Na (0.044, 0.912, 0.329)
Na (0.956, 0.088, 0.671)
Na (0.319, 0.361, 0.138)
Hg (0.372, 0.255, 0.482)
Hg (0.000, 0.000, 0.000)
Hg (0.628, 0.745, 0.518)



[3]
DFT (PBE) results for crystalline RbTeI6 at its relaxed geometry.

Properties
volume = 51.8 A^3/atom
raw formation energy = -0.38 eV per atom

Cell: 7.791 7.791 8.033 Å, 110.58 110.58 95.39°
Fractional positions:
Rb (0.500, 0.500, 0.500)
Te (0.000, 0.000, 0.000)
I (0.955, 0.328, 0.308)
I (0.328, 0.955, 0.308)
I (0.672, 0.045, 0.692)
I (0.045, 0.672, 0.692)
I (0.737, 0.737, 0.039)
I (0.263, 0.263, 0.961)



[4]
DFT (PBE) results for crystalline Sb5C at its relaxed geometry.

Properties
volume = 23.9 A^3/atom
raw formation energy = 0.87 eV per atom

Cell: 3.205 3.205 13.940 Å, 90.00 90.00 90.00°
Fractional positions:
Sb (0.000, 0.000, 0.898)
Sb (0.000, 0.000, 0.102)
Sb (0.500, 0.500, 0.690)
Sb (0.500, 0.500, 0.310)
Sb (0.000, 0.000, 0.500)
C (0.500, 0.500, 0.000)